*one*
Compound: La4PmSm3
Source: Alexandria
Functional: PBE
Structure: optimized geometry

a = 25.5997 Å, b = 3.5253 Å, c = 6.3365 Å
α = 90.00°, β = 93.52°, γ = 90.00°
Element x y z (fractional)
La  0.1059  0.0000  0.2384
La  0.2204  0.5000  0.2435
La  0.2796  0.0000  0.7565
La  0.3941  0.5000  0.7616
La  0.6059  0.5000  0.2384
La  0.7204  0.0000  0.2435
La  0.7796  0.5000  0.7565
La  0.8941  0.0000  0.7616
Pm  0.0000  0.5000  0.0000
Pm  0.5000  0.0000  0.0000
Sm  0.0000  0.0000  0.5000
Sm  0.1427  0.0000  0.7471
Sm  0.3573  0.5000  0.2529
Sm  0.5000  0.5000  0.5000
Sm  0.6427  0.5000  0.7471
Sm  0.8573  0.0000  0.2529

V, Å³/atom: 35.7
Total magnetic moment, μB per cell: 0.00

=====

*two*
Compound: La4PmSm3
Source: Alexandria
Functional: PBE
Structure: optimized geometry

a = 11.9709 Å, b = 13.7258 Å, c = 3.4775 Å
α = 90.00°, β = 90.00°, γ = 90.00°
Element x y z (fractional)
La  0.0000  0.2495  0.0000
La  0.0000  0.7505  0.0000
La  0.2497  0.0000  0.5000
La  0.2503  0.5000  0.5000
La  0.5000  0.2505  0.0000
La  0.5000  0.7495  0.0000
La  0.7503  0.0000  0.5000
La  0.7497  0.5000  0.5000
Pm  0.0000  0.5000  0.0000
Pm  0.5000  0.0000  0.0000
Sm  0.0000  0.0000  0.0000
Sm  0.2500  0.2500  0.5000
Sm  0.2500  0.7500  0.5000
Sm  0.5000  0.5000  0.0000
Sm  0.7500  0.2500  0.5000
Sm  0.7500  0.7500  0.5000

V, Å³/atom: 35.7
Total magnetic moment, μB per cell: 0.04

=====

Stability ranking, top entry: *one*; the second entry is 0.135 eV/atom less favorable.

=====

*one*
Compound: La2PmSm6
Source: Alexandria
Functional: PBE
Structure: optimized geometry

a = 7.7390 Å, b = 7.7390 Å, c = 6.1547 Å
α = 90.00°, β = 90.00°, γ = 120.00°
Element x y z (fractional)
La  0.3333  0.6667  0.2845
La  0.6667  0.3333  0.7155
Pm  0.0000  0.0000  0.5000
Sm  0.1878  0.3757  0.7890
Sm  0.1878  0.8122  0.7890
Sm  0.3757  0.1878  0.2110
Sm  0.6243  0.8122  0.7890
Sm  0.8122  0.1878  0.2110
Sm  0.8122  0.6243  0.2110

V, Å³/atom: 35.5
Total magnetic moment, μB per cell: 0.00

=====

*two*
Compound: La2PmSm6
Source: Alexandria
Functional: PBE
Structure: optimized geometry

a = 10.0396 Å, b = 10.0396 Å, c = 3.5676 Å
α = 90.00°, β = 90.00°, γ = 120.18°
Element x y z (fractional)
La  0.1667  0.8333  0.0000
La  0.8333  0.1667  0.0000
Pm  0.5000  0.5000  0.0000
Sm  0.1684  0.1684  0.5000
Sm  0.1677  0.4995  0.5000
Sm  0.4995  0.1677  0.5000
Sm  0.5005  0.8323  0.5000
Sm  0.8323  0.5005  0.5000
Sm  0.8316  0.8316  0.5000

V, Å³/atom: 34.5
Total magnetic moment, μB per cell: 0.00

=====

Stability ranking, top entry: *two*; the second entry is 0.159 eV/atom less favorable.

=====

*one*
Compound: La3Pm7Sm
Source: Alexandria
Functional: PBE
Structure: optimized geometry

a = 7.8698 Å, b = 7.8698 Å, c = 6.5319 Å
α = 93.52°, β = 93.52°, γ = 81.72°
Element x y z (fractional)
La  0.0000  0.0000  0.0000
La  0.1756  0.8244  0.5000
La  0.8244  0.1756  0.5000
Pm  0.0856  0.4297  0.2385
Pm  0.2382  0.2382  0.7117
Pm  0.4297  0.0856  0.2385
Pm  0.5000  0.5000  0.5000
Pm  0.5703  0.9144  0.7615
Pm  0.7618  0.7618  0.2883
Pm  0.9144  0.5703  0.7615
Sm  0.5000  0.5000  0.0000

V, Å³/atom: 36.3
Total magnetic moment, μB per cell: 0.00

=====

*two*
Compound: La3Pm7Sm
Source: Alexandria
Functional: PBE
Structure: optimized geometry

a = 8.6569 Å, b = 8.6569 Å, c = 8.6569 Å
α = 139.41°, β = 97.17°, γ = 96.65°
Element x y z (fractional)
La  0.0000  0.0000  0.0000
La  0.2121  0.5000  0.7121
La  0.7879  0.5000  0.2879
Pm  0.0005  0.2019  0.7986
Pm  0.2077  0.7077  0.5000
Pm  0.4033  0.2019  0.2014
Pm  0.5000  0.5000  0.0000
Pm  0.5967  0.7981  0.7986
Pm  0.7923  0.2923  0.5000
Pm  0.9995  0.7981  0.2014
Sm  0.5000  0.0000  0.5000

V, Å³/atom: 36.0
Total magnetic moment, μB per cell: 0.00

=====

Stability ranking, top entry: *one*; the second entry is 0.017 eV/atom less favorable.

=====

*one*
Compound: LaTbPmSm
Source: Alexandria
Functional: PBE
Structure: optimized geometry

a = 8.2069 Å, b = 8.2069 Å, c = 8.2069 Å
α = 90.00°, β = 90.00°, γ = 90.00°
Element x y z (fractional)
La  0.0000  0.0000  0.0000
La  0.0000  0.5000  0.5000
La  0.5000  0.0000  0.5000
La  0.5000  0.5000  0.0000
Tb  0.2500  0.2500  0.7500
Tb  0.2500  0.7500  0.2500
Tb  0.7500  0.2500  0.2500
Tb  0.7500  0.7500  0.7500
Pm  0.2500  0.2500  0.2500
Pm  0.2500  0.7500  0.7500
Pm  0.7500  0.2500  0.7500
Pm  0.7500  0.7500  0.2500
Sm  0.0000  0.0000  0.5000
Sm  0.0000  0.5000  0.0000
Sm  0.5000  0.0000  0.0000
Sm  0.5000  0.5000  0.5000

V, Å³/atom: 34.5
Total magnetic moment, μB per cell: 0.02

=====

*two*
Compound: LaTbPmSm
Source: Alexandria
Functional: PBE
Structure: optimized geometry

a = 5.1582 Å, b = 5.1582 Å, c = 10.3659 Å
α = 90.00°, β = 90.00°, γ = 90.00°
Element x y z (fractional)
La  0.0000  0.0000  0.0000
La  0.5000  0.5000  0.5000
Tb  0.0000  0.0000  0.5000
Tb  0.5000  0.5000  0.0000
Pm  0.0000  0.5000  0.2500
Pm  0.5000  0.0000  0.7500
Sm  0.0000  0.5000  0.7500
Sm  0.5000  0.0000  0.2500

V, Å³/atom: 34.5
Total magnetic moment, μB per cell: 0.00

=====

Stability ranking, top entry: *two*; the second entry is 0.105 eV/atom less favorable.

=====

*one*
Compound: LaPmSmTl
Source: Alexandria
Functional: PBE
Structure: optimized geometry

a = 7.9797 Å, b = 7.9797 Å, c = 7.9797 Å
α = 90.00°, β = 90.00°, γ = 90.00°
Element x y z (fractional)
La  0.0000  0.0000  0.0000
La  0.0000  0.5000  0.5000
La  0.5000  0.0000  0.5000
La  0.5000  0.5000  0.0000
Pm  0.2500  0.2500  0.7500
Pm  0.2500  0.7500  0.2500
Pm  0.7500  0.2500  0.2500
Pm  0.7500  0.7500  0.7500
Sm  0.0000  0.0000  0.5000
Sm  0.0000  0.5000  0.0000
Sm  0.5000  0.0000  0.0000
Sm  0.5000  0.5000  0.5000
Tl  0.2500  0.2500  0.2500
Tl  0.2500  0.7500  0.7500
Tl  0.7500  0.2500  0.7500
Tl  0.7500  0.7500  0.2500

V, Å³/atom: 31.8
Total magnetic moment, μB per cell: 5.95

=====

*two*
Compound: LaPmSmTl
Source: Alexandria
Functional: PBE
Structure: optimized geometry

a = 7.9035 Å, b = 7.9035 Å, c = 7.9035 Å
α = 90.00°, β = 90.00°, γ = 90.00°
Element x y z (fractional)
La  0.0000  0.0000  0.0000
La  0.0000  0.5000  0.5000
La  0.5000  0.0000  0.5000
La  0.5000  0.5000  0.0000
Pm  0.2500  0.2500  0.7500
Pm  0.2500  0.7500  0.2500
Pm  0.7500  0.2500  0.2500
Pm  0.7500  0.7500  0.7500
Sm  0.2500  0.2500  0.2500
Sm  0.2500  0.7500  0.7500
Sm  0.7500  0.2500  0.7500
Sm  0.7500  0.7500  0.2500
Tl  0.0000  0.0000  0.5000
Tl  0.0000  0.5000  0.0000
Tl  0.5000  0.0000  0.0000
Tl  0.5000  0.5000  0.5000

V, Å³/atom: 30.9
Total magnetic moment, μB per cell: 0.95

=====

Stability ranking, top entry: *one*; the second entry is 0.024 eV/atom less favorable.

=====

*one*
Compound: La3PmSn
Source: Alexandria
Functional: PBE
Structure: optimized geometry

a = 8.9664 Å, b = 8.9664 Å, c = 5.3700 Å
α = 90.00°, β = 90.00°, γ = 124.58°
Element x y z (fractional)
La  0.0000  0.5000  0.5000
La  0.1559  0.8441  0.0000
La  0.3229  0.3229  0.5000
La  0.5000  0.0000  0.5000
La  0.6771  0.6771  0.5000
La  0.8441  0.1559  0.0000
Pm  0.0908  0.9092  0.5000
Pm  0.9092  0.0908  0.5000
Sn  0.3649  0.6351  0.0000
Sn  0.6351  0.3649  0.0000

V, Å³/atom: 35.5
Total magnetic moment, μB per cell: 0.00

=====

*two*
Compound: La3PmSn
Source: Alexandria
Functional: PBE
Structure: optimized geometry

a = 13.5007 Å, b = 13.5007 Å, c = 4.9465 Å
α = 90.00°, β = 90.00°, γ = 158.89°
Element x y z (fractional)
La  0.0564  0.9436  0.7500
La  0.2501  0.7499  0.7500
La  0.4422  0.5578  0.7500
La  0.5578  0.4422  0.2500
La  0.7499  0.2501  0.2500
La  0.9436  0.0564  0.2500
Pm  0.3472  0.6528  0.2500
Pm  0.6528  0.3472  0.7500
Sn  0.1526  0.8474  0.2500
Sn  0.8474  0.1526  0.7500

V, Å³/atom: 32.5
Total magnetic moment, μB per cell: 0.00

=====

Stability ranking, top entry: *two*; the second entry is 0.495 eV/atom less favorable.

=====

*one*
Compound: La2PmSn
Source: Alexandria
Functional: PBE
Structure: optimized geometry

a = 5.8233 Å, b = 12.5982 Å, c = 7.0588 Å
α = 90.00°, β = 90.00°, γ = 90.00°
Element x y z (fractional)
La  0.0000  0.1199  0.0263
La  0.0000  0.1199  0.4737
La  0.0000  0.8801  0.5263
La  0.0000  0.8801  0.9737
La  0.5000  0.3801  0.5263
La  0.5000  0.3801  0.9737
La  0.5000  0.6199  0.0263
La  0.5000  0.6199  0.4737
Pm  0.0000  0.4210  0.2500
Pm  0.0000  0.5790  0.7500
Pm  0.5000  0.0790  0.7500
Pm  0.5000  0.9210  0.2500
Sn  0.0000  0.3312  0.7500
Sn  0.0000  0.6688  0.2500
Sn  0.5000  0.1688  0.2500
Sn  0.5000  0.8312  0.7500

V, Å³/atom: 32.4
Total magnetic moment, μB per cell: 0.00

=====

*two*
Compound: La2PmSn
Source: Alexandria
Functional: PBE
Structure: optimized geometry

a = 3.7410 Å, b = 3.7410 Å, c = 33.6906 Å
α = 90.00°, β = 90.00°, γ = 120.00°
Element x y z (fractional)
La  0.0000  0.0000  0.0000
La  0.0000  0.0000  0.1782
La  0.3333  0.6667  0.6667
La  0.3333  0.6667  0.8449
La  0.6667  0.3333  0.3333
La  0.6667  0.3333  0.5115
Pm  0.0000  0.0000  0.7552
Pm  0.3333  0.6667  0.4219
Pm  0.6667  0.3333  0.0886
Sn  0.0000  0.0000  0.5895
Sn  0.3333  0.6667  0.2562
Sn  0.6667  0.3333  0.9229

V, Å³/atom: 34.0
Total magnetic moment, μB per cell: 0.00

=====

Stability ranking, top entry: *one*; the second entry is 0.147 eV/atom less favorable.

=====

*one*
Compound: La2PmSn
Source: Alexandria
Functional: PBE
Structure: optimized geometry

a = 4.9456 Å, b = 4.9456 Å, c = 5.0896 Å
α = 90.00°, β = 90.00°, γ = 90.00°
Element x y z (fractional)
La  0.0000  0.5000  0.0000
La  0.5000  0.0000  0.0000
Pm  0.0000  0.0000  0.5000
Sn  0.5000  0.5000  0.5000

V, Å³/atom: 31.1
Total magnetic moment, μB per cell: 0.00

=====

*two*
Compound: La2PmSn
Source: Alexandria
Functional: PBE
Structure: optimized geometry

a = 6.9220 Å, b = 8.9260 Å, c = 8.3456 Å
α = 90.00°, β = 90.00°, γ = 90.00°
Element x y z (fractional)
La  0.2500  0.0420  0.2500
La  0.2500  0.4580  0.2500
La  0.2500  0.5420  0.7500
La  0.2500  0.9580  0.7500
La  0.7500  0.0420  0.2500
La  0.7500  0.4580  0.2500
La  0.7500  0.5420  0.7500
La  0.7500  0.9580  0.7500
Pm  0.0000  0.2500  0.5681
Pm  0.0000  0.7500  0.4319
Pm  0.5000  0.2500  0.9319
Pm  0.5000  0.7500  0.0681
Sn  0.0000  0.2500  0.9580
Sn  0.0000  0.7500  0.0420
Sn  0.5000  0.2500  0.5420
Sn  0.5000  0.7500  0.4580

V, Å³/atom: 32.2
Total magnetic moment, μB per cell: 0.00

=====

Stability ranking, top entry: *one*; the second entry is 0.045 eV/atom less favorable.

=====

*one*
Compound: La2PmSn
Source: Alexandria
Functional: PBE
Structure: optimized geometry

a = 4.3326 Å, b = 4.3326 Å, c = 7.0167 Å
α = 90.00°, β = 90.00°, γ = 90.00°
Element x y z (fractional)
La  0.0000  0.0000  0.2229
La  0.0000  0.0000  0.7771
Pm  0.5000  0.5000  0.5000
Sn  0.5000  0.5000  0.0000

V, Å³/atom: 32.9
Total magnetic moment, μB per cell: 0.00

=====

*two*
Compound: La2PmSn
Source: Alexandria
Functional: PBE
Structure: optimized geometry

a = 7.9987 Å, b = 7.9987 Å, c = 7.9987 Å
α = 90.00°, β = 90.00°, γ = 90.00°
Element x y z (fractional)
La  0.2500  0.2500  0.2500
La  0.2500  0.2500  0.7500
La  0.2500  0.7500  0.2500
La  0.2500  0.7500  0.7500
La  0.7500  0.2500  0.2500
La  0.7500  0.2500  0.7500
La  0.7500  0.7500  0.2500
La  0.7500  0.7500  0.7500
Pm  0.0000  0.0000  0.0000
Pm  0.0000  0.5000  0.5000
Pm  0.5000  0.0000  0.5000
Pm  0.5000  0.5000  0.0000
Sn  0.0000  0.0000  0.5000
Sn  0.0000  0.5000  0.0000
Sn  0.5000  0.0000  0.0000
Sn  0.5000  0.5000  0.5000

V, Å³/atom: 32.0
Total magnetic moment, μB per cell: 0.00

=====

Stability ranking, top entry: *one*; the second entry is 0.107 eV/atom less favorable.

=====

*one*
Compound: LaPm3Sn2
Source: Alexandria
Functional: PBE
Structure: optimized geometry

a = 4.6403 Å, b = 4.6403 Å, c = 8.8673 Å
α = 90.00°, β = 90.00°, γ = 90.00°
Element x y z (fractional)
La  0.0000  0.0000  0.0000
Pm  0.0000  0.5000  0.3531
Pm  0.5000  0.0000  0.6469
Pm  0.5000  0.5000  0.0000
Sn  0.0000  0.5000  0.7176
Sn  0.5000  0.0000  0.2824

V, Å³/atom: 31.8
Total magnetic moment, μB per cell: 0.00

=====

*two*
Compound: LaPm3Sn2
Source: Alexandria
Functional: PBE
Structure: optimized geometry

a = 9.5661 Å, b = 9.5661 Å, c = 9.7861 Å
α = 113.92°, β = 113.92°, γ = 28.58°
Element x y z (fractional)
La  0.1157  0.1157  0.1333
La  0.8843  0.8843  0.8667
Pm  0.0547  0.0547  0.6892
Pm  0.3073  0.3073  0.1123
Pm  0.3539  0.3539  0.5212
Pm  0.6461  0.6461  0.4788
Pm  0.6927  0.6927  0.8877
Pm  0.9453  0.9453  0.3108
Sn  0.2412  0.2412  0.7114
Sn  0.4908  0.4908  0.1444
Sn  0.5092  0.5092  0.8556
Sn  0.7588  0.7588  0.2886

V, Å³/atom: 32.4
Total magnetic moment, μB per cell: 0.00

=====

Stability ranking, top entry: *one*; the second entry is 0.032 eV/atom less favorable.

=====

*one*
Compound: La3Pm2Sn4
Source: Alexandria
Functional: PBE
Structure: optimized geometry

a = 8.8020 Å, b = 8.8020 Å, c = 6.9433 Å
α = 103.73°, β = 103.73°, γ = 33.95°
Element x y z (fractional)
La  0.0000  0.0000  0.0000
La  0.1203  0.1203  0.5730
La  0.8797  0.8797  0.4270
Pm  0.3373  0.3373  0.9172
Pm  0.6627  0.6627  0.0828
Sn  0.2468  0.2468  0.2779
Sn  0.4970  0.4970  0.7083
Sn  0.5030  0.5030  0.2917
Sn  0.7532  0.7532  0.7221

V, Å³/atom: 32.3
Total magnetic moment, μB per cell: 0.00

=====

*two*
Compound: La3Pm2Sn4
Source: Alexandria
Functional: PBE
Structure: optimized geometry

a = 7.3057 Å, b = 7.3057 Å, c = 10.3299 Å
α = 115.35°, β = 115.35°, γ = 37.03°
Element x y z (fractional)
La  0.0000  0.0000  0.0000
La  0.3756  0.3756  0.3015
La  0.6244  0.6244  0.6985
Pm  0.3235  0.3235  0.6598
Pm  0.6765  0.6765  0.3402
Sn  0.0692  0.0692  0.4217
Sn  0.2935  0.2935  0.9429
Sn  0.7065  0.7065  0.0571
Sn  0.9308  0.9308  0.5783

V, Å³/atom: 32.9
Total magnetic moment, μB per cell: 0.00

=====

Stability ranking, top entry: *one*; the second entry is 0.060 eV/atom less favorable.

=====

*one*
Compound: SrLaPm
Source: Alexandria
Functional: PBE
Structure: optimized geometry

a = 3.8335 Å, b = 3.8335 Å, c = 16.6101 Å
α = 90.00°, β = 90.00°, γ = 90.00°
Element x y z (fractional)
Sr  0.0000  0.0000  0.0000
Sr  0.5000  0.5000  0.5000
La  0.0000  0.0000  0.6825
La  0.5000  0.5000  0.1825
Pm  0.0000  0.0000  0.3243
Pm  0.5000  0.5000  0.8243

V, Å³/atom: 40.7
Total magnetic moment, μB per cell: 0.00

=====

*two*
Compound: SrLaPm
Source: Alexandria
Functional: PBE
Structure: optimized geometry

a = 3.8415 Å, b = 3.8415 Å, c = 9.5519 Å
α = 90.00°, β = 90.00°, γ = 120.00°
Element x y z (fractional)
Sr  0.0000  0.0000  0.0000
La  0.3333  0.6667  0.6415
Pm  0.6667  0.3333  0.3449

V, Å³/atom: 40.7
Total magnetic moment, μB per cell: 0.00

=====

*three*
Compound: SrLaPm
Source: Alexandria
Functional: PBE
Structure: optimized geometry

a = 14.2992 Å, b = 3.5830 Å, c = 9.8159 Å
α = 90.00°, β = 101.67°, γ = 90.00°
Element x y z (fractional)
Sr  0.1295  0.0000  0.0073
Sr  0.3705  0.5000  0.9927
Sr  0.6295  0.5000  0.0073
Sr  0.8705  0.0000  0.9927
La  0.0427  0.0000  0.3546
La  0.4573  0.5000  0.6454
La  0.5427  0.5000  0.3546
La  0.9573  0.0000  0.6454
Pm  0.2200  0.0000  0.6469
Pm  0.2800  0.5000  0.3531
Pm  0.7200  0.5000  0.6469
Pm  0.7800  0.0000  0.3531

V, Å³/atom: 41.0
Total magnetic moment, μB per cell: 0.00

=====

Stability ranking, top entry: *one*; the second entry is 0.015 eV/atom less favorable.